Density functional theory data (PBE-GGA) for a relaxed structure of Sm3TiTl3Te8.

abc: 8.7809 8.7809 24.8157
angles: 90.00 90.00 120.00
Space group R-3m (No. 166, hexagonal axes)
One atom of each set of equivalent atoms:
Sm: 0.0000 0.5000 0.0000
Ti: 0.0000 0.0000 0.0000
Tl: 0.0000 0.5000 0.5000
Te: 0.0000 0.0000 0.2596
Te: 0.0294 0.5147 0.7347

Values from the calculation:
Uncorrected formation energy: -0.947 eV/atom
Theoretical density: 6.413 Mg/m³
Total magnetization: 0.06 μB/f.u.
DFT total energy: -205.456 eV/cell